(1)
This record from OQMD via LeMat-Bulk describes crystalline CsGd2CuTe4 at its relaxed geometry. The functional is PBE.

a b c (Å): 4.457 15.669 15.583
angles (deg): 90.00 90.00 90.00
Space group Cmcm (No. 63)
Inequivalent atoms, fractional coordinates:
Cs  0.000  0.109  0.250 [4 per cell]
Gd  0.000  0.366  0.063 [8 per cell]
Cu  0.000  0.164  0.750 [4 per cell]
Te  0.000  0.000  0.000 [4 per cell]
Te  0.000  0.261  0.610 [8 per cell]
Te  0.000  0.426  0.250 [4 per cell]

Values from the calculation:
size of the total moment	0.0	μB/cell
energy above the lowest structure with this stoichiometry	0.026	eV per atom
V	34.0	Å³/atom
total energy	-4.459	eV per atom

***

(2)
This record from OQMD via LeMat-Bulk describes crystalline TmPb2Cl2O2 at its relaxed geometry. The functional is PBE.

a b c (Å): 12.828 3.938 7.848
angles (deg): 90.00 127.11 90.00
Space group C2/m (No. 12)
Inequivalent atoms, fractional coordinates:
Tm  0.000  0.000  0.000 [2 per cell]
Pb  0.179  0.000  0.604 [4 per cell]
Cl  0.080  0.500  0.869 [4 per cell]
O  0.188  0.000  0.310 [4 per cell]

Values from the calculation:
size of the total moment	0.0	μB/cell
V	22.6	Å³/atom
total energy	-5.305	eV per atom

***

(3)
This record from OQMD via LeMat-Bulk describes crystalline LaSmCu at its relaxed geometry. The functional is PBE.

a b c (Å): 6.848 6.848 6.848
angles (deg): 90.00 90.00 90.00
Space group F-43m (No. 216)
Inequivalent atoms, fractional coordinates:
La  0.000  0.000  0.000 [4 per cell]
Sm  0.250  0.250  0.750 [4 per cell]
Cu  0.000  0.000  0.500 [4 per cell]

Values from the calculation:
size of the total moment	0.0	μB/cell
energy above the lowest structure with this stoichiometry	0.000	eV per atom
V	26.8	Å³/atom
total energy	-3.946	eV per atom

***

(4)
This record from OQMD via LeMat-Bulk describes crystalline BaAgPO at its relaxed geometry. The functional is PBE.

a b c (Å): 4.591 7.646 4.912
angles (deg): 90.00 90.00 90.00
Space group Pmc2_1 (No. 26)
Inequivalent atoms, fractional coordinates:
Ba  0.000  0.221  0.000 [2 per cell]
Ag  0.500  0.168  0.497 [2 per cell]
P  0.500  0.494  0.288 [2 per cell]
O  0.000  0.119  0.499 [2 per cell]

Values from the calculation:
energy above the lowest structure with this stoichiometry	0.084	eV per atom
V	21.6	Å³/atom
total energy	-4.577	eV per atom

***

(5)
This record from OQMD via LeMat-Bulk describes crystalline TaAlOs2 at its relaxed geometry. The functional is PBE.

a b c (Å): 6.229 6.229 6.229
angles (deg): 90.00 90.00 90.00
Space group Fm-3m (No. 225)
Inequivalent atoms, fractional coordinates:
Ta  0.000  0.000  0.000 [4 per cell]
Al  0.000  0.000  0.500 [4 per cell]
Os  0.250  0.250  0.250 [8 per cell]

Values from the calculation:
size of the total moment	0.0	μB/cell
energy above the lowest structure with this stoichiometry	0.000	eV per atom
V	15.1	Å³/atom
total energy	-10.064	eV per atom

***

(6)
This record from OQMD via LeMat-Bulk describes crystalline FeHgH16C8S8N12 at its relaxed geometry. The functional is PBE.

a b c (Å): 17.242 17.242 4.081
angles (deg): 90.00 90.00 90.00
Space group I-4 (No. 82)
Inequivalent atoms, fractional coordinates:
Fe  0.000  0.000  0.000 [2 per cell]
Hg  0.000  0.500  0.250 [2 per cell]
H  0.023  0.781  0.886 [8 per cell]
H  0.065  0.186  0.062 [8 per cell]
H  0.124  0.630  0.238 [8 per cell]
H  0.149  0.276  0.289 [8 per cell]
C  0.049  0.304  0.053 [8 per cell]
C  0.097  0.874  0.379 [8 per cell]
S  0.015  0.626  0.908 [8 per cell]
S  0.143  0.806  0.566 [8 per cell]
N  0.029  0.231  0.997 [8 per cell]
N  0.062  0.924  0.239 [8 per cell]
N  0.115  0.321  0.199 [8 per cell]

Values from the calculation:
size of the total moment	8.0	μB/cell
V	13.2	Å³/atom
total energy	-5.964	eV per atom

***

(7)
This record from OQMD via LeMat-Bulk describes crystalline TlAgTePdSe2 at its relaxed geometry. The functional is PBE.

a b c (Å): 3.690 14.965 10.938
angles (deg): 90.00 90.00 90.00
Space group Cmcm (No. 63)
Inequivalent atoms, fractional coordinates:
Tl  0.000  0.215  0.250 [4 per cell]
Ag  0.000  0.127  0.750 [4 per cell]
Te  0.000  0.466  0.750 [4 per cell]
Pd  0.000  0.500  0.000 [4 per cell]
Se  0.000  0.115  0.512 [8 per cell]

Values from the calculation:
V	25.2	Å³/atom
total energy	-3.598	eV per atom

***

(8)
This record from OQMD via LeMat-Bulk describes crystalline LaCuSnTeSe2 at its relaxed geometry. The functional is PBE.

a b c (Å): 4.190 13.881 11.632
angles (deg): 90.00 90.00 90.00
Space group Cmcm (No. 63)
Inequivalent atoms, fractional coordinates:
La  0.000  0.000  0.000 [4 per cell]
Cu  0.000  0.474  0.250 [4 per cell]
Sn  0.000  0.217  0.750 [4 per cell]
Te  0.000  0.096  0.250 [4 per cell]
Se  0.000  0.362  0.084 [8 per cell]

Values from the calculation:
size of the total moment	0.0	μB/cell
V	28.2	Å³/atom
total energy	-4.699	eV per atom

***

(9)
This record from OQMD via LeMat-Bulk describes crystalline AcHoGa at its relaxed geometry. The functional is PBE.

a b c (Å): 7.344 7.344 7.344
angles (deg): 90.00 90.00 90.00
Space group F-43m (No. 216)
Inequivalent atoms, fractional coordinates:
Ac  0.000  0.000  0.000 [4 per cell]
Ho  0.000  0.000  0.500 [4 per cell]
Ga  0.250  0.250  0.250 [4 per cell]

Values from the calculation:
size of the total moment	2.6	μB/cell
energy above the lowest structure with this stoichiometry	0.000	eV per atom
V	33.0	Å³/atom
total energy	-4.073	eV per atom

***

(10)
This record from OQMD via LeMat-Bulk describes crystalline CsMgNiBi at its relaxed geometry. The functional is PBE.

a b c (Å): 7.602 7.602 7.602
angles (deg): 90.00 90.00 90.00
Space group F-43m (No. 216)
Inequivalent atoms, fractional coordinates:
Cs  0.000  0.000  0.000 [4 per cell]
Mg  0.250  0.250  0.250 [4 per cell]
Ni  0.000  0.000  0.500 [4 per cell]
Bi  0.250  0.250  0.750 [4 per cell]

Values from the calculation:
size of the total moment	0.1	μB/cell
energy above the lowest structure with this stoichiometry	0.117	eV per atom
V	27.5	Å³/atom
total energy	-2.409	eV per atom

***

(11)
This record from OQMD via LeMat-Bulk describes crystalline NaNpRe at its relaxed geometry. The functional is PBE.

a b c (Å): 6.469 6.469 6.469
angles (deg): 90.00 90.00 90.00
Space group F-43m (No. 216)
Inequivalent atoms, fractional coordinates:
Na  0.000  0.000  0.000 [4 per cell]
Np  0.250  0.250  0.250 [4 per cell]
Re  0.000  0.000  0.500 [4 per cell]

Values from the calculation:
size of the total moment	11.6	μB/cell
energy above the lowest structure with this stoichiometry	0.379	eV per atom
V	22.6	Å³/atom
total energy	-7.166	eV per atom